1.
Density functional theory data (GGA-PBE) for a geometry-optimized PmPdNO structure.

Values from the calculation:
Its space group is Pmc2_1. For the total magnetic moment, the calculation gives 0.0 μB/cell. For the energy above the most stable polymorph in this dataset, the calculation gives 14.2 kJ/mol of atoms.

a = 4.385 Å, b = 7.284 Å, c = 4.325 Å
α = 90.00°, β = 90.00°, γ = 90.00°
Atoms (fractional coordinates):
Pm: 0.000 0.199 0.000
Pm: 0.000 0.801 0.500
Pd: 0.500 0.392 0.500
Pd: 0.500 0.608 0.000
N: 0.500 0.332 0.005
N: 0.500 0.668 0.505
O: 0.000 0.119 0.500
O: 0.000 0.881 0.000



2.
Density functional theory data (GGA-PBE) for a geometry-optimized PmPdNO structure.

Values from the calculation:
Its space group is Pmc2_1. For the total magnetic moment, the calculation gives 0.0 μB/cell. For the energy above the most stable polymorph in this dataset, the calculation gives 26.6 kJ/mol of atoms.

a = 3.887 Å, b = 5.210 Å, c = 5.479 Å
α = 90.00°, β = 90.00°, γ = 90.00°
Atoms (fractional coordinates):
Pm: 0.000 0.194 0.000
Pm: 0.000 0.806 0.500
Pd: 0.500 0.345 0.505
Pd: 0.500 0.655 0.005
N: 0.000 0.330 0.578
N: 0.000 0.670 0.078
O: 0.500 0.062 0.230
O: 0.500 0.938 0.730



3.
Density functional theory data (GGA-PBE) for a geometry-optimized PmPdNO structure.

Values from the calculation:
Its space group is P4/nmm. For the total magnetic moment, the calculation gives 0.0 μB/cell. For the energy above the most stable polymorph in this dataset, the calculation gives 38.3 kJ/mol of atoms.

a = 4.819 Å, b = 4.819 Å, c = 4.651 Å
α = 90.00°, β = 90.00°, γ = 90.00°
Atoms (fractional coordinates):
Pm: 0.250 0.750 0.000
Pm: 0.750 0.250 0.000
Pd: 0.250 0.250 0.498
Pd: 0.750 0.750 0.502
N: 0.250 0.250 0.996
N: 0.750 0.750 0.004
O: 0.250 0.750 0.500
O: 0.750 0.250 0.500



4.
Density functional theory data (GGA-PBE) for a geometry-optimized PdPtNO structure.

Values from the calculation:
Its space group is P4/nmm. For the total magnetic moment, the calculation gives 0.0 μB/cell. For the energy above the most stable polymorph in this dataset, the calculation gives 34.9 kJ/mol of atoms.

a = 3.963 Å, b = 3.963 Å, c = 6.420 Å
α = 90.00°, β = 90.00°, γ = 90.00°
Atoms (fractional coordinates):
Pd: 0.250 0.750 0.000
Pd: 0.750 0.250 0.000
Pt: 0.250 0.250 0.404
Pt: 0.750 0.750 0.596
N: 0.250 0.250 0.886
N: 0.750 0.750 0.114
O: 0.250 0.750 0.500
O: 0.750 0.250 0.500



Q: total magnetic moment of number 4 (PdPtNO)?
A: 0.0 μB/cell